Entry 1:
The following is a PBE calculation of an optimized crystal structure of RbCu2Au, from Alexandria via LeMat-Bulk.

Computed properties:
total magnetization	0.00	μB/cell
energy relative to the elements	0.13	eV per atom
total DFT energy (no corrections)	-2.98	eV/atom
excess energy over the best structure of this formula in the dataset	0.00	eV/f.u.
crystal system	tetragonal

Unit cell a=4.9571 b=4.9571 c=9.5704 alpha=74.99 beta=74.99 gamma=90.00
With the nearest neighbours (Å) after each atom.
Element x y z (fractional)
Au1 0.0000 0.0000 0.0000  4 Cu 2.55
Cu1 0.3750 0.1250 0.7500  2 Cu 2.48, 2 Au 2.55
Cu2 0.8750 0.1250 0.7500  2 Cu 2.48, 2 Au 2.55
Rb1 0.5000 0.5000 0.0000  4 Au 3.51, 8 Cu 3.55
Rb2 0.2500 0.7500 0.5000  4 Au 3.51, 8 Cu 3.55
Au2 0.7500 0.2500 0.5000  4 Cu 2.55
Cu3 0.8750 0.1250 0.2500  2 Cu 2.48, 2 Au 2.55
Cu4 0.8750 0.6250 0.2500  2 Cu 2.48, 2 Au 2.55

Entry 2:
The following is a PBE calculation of an optimized crystal structure of RbCuAu2, from Alexandria via LeMat-Bulk.

Computed properties:
total magnetization	0.00	μB/cell
energy relative to the elements	0.46	eV per atom
total DFT energy (no corrections)	-2.44	eV/atom
excess energy over the best structure of this formula in the dataset	2.37	eV/f.u.
crystal system	cubic

Unit cell a=5.1278 b=5.1278 c=5.1278 alpha=60.00 beta=60.00 gamma=60.00
With the nearest neighbours (Å) after each atom.
Element x y z (fractional)
Au1 0.2500 0.2500 0.2500  4 Cu 3.14, 4 Rb 3.14
Cu1 0.0000 0.0000 0.0000  8 Au 3.14
Rb1 0.5000 0.5000 0.5000  8 Au 3.14
Au2 0.7500 0.7500 0.7500  4 Rb 3.14, 4 Cu 3.14

Entry 3:
The following is a PBE calculation of an optimized crystal structure of RbCu2Au2, from Alexandria via LeMat-Bulk.

Computed properties:
total magnetization	0.00	μB/cell
energy relative to the elements	0.13	eV per atom
total DFT energy (no corrections)	-3.01	eV/atom
excess energy over the best structure of this formula in the dataset	0.26	eV/f.u.
crystal system	tetragonal

Unit cell a=4.5833 b=4.5833 c=6.1646 alpha=68.18 beta=68.18 gamma=90.00
With the nearest neighbours (Å) after each atom.
Element x y z (fractional)
Cu1 0.6228 0.6228 0.7544  1 Cu 2.58, 4 Au 2.65
Rb1 0.0000 0.0000 0.0000  8 Au 3.48, 8 Cu 3.49
Au1 0.2500 0.7500 0.5000  4 Cu 2.65
Au2 0.7500 0.2500 0.5000  4 Cu 2.65
Cu2 0.3772 0.3772 0.2456  1 Cu 2.58, 4 Au 2.65